# Ba2Hg5Pt5, optimized geometry, DFT PBE
data_Ba2Hg5Pt5
_chemical_formula_sum 'Ba2 Hg5 Pt5'
_cell_length_a 4.570
_cell_length_b 5.867
_cell_length_c 10.295
_cell_angle_alpha 90.00
_cell_angle_beta 90.00
_cell_angle_gamma 90.00
_space_group_name_H-M_alt 'P m m m'
_space_group_IT_number 47
loop_
_space_group_symop_operation_xyz
'x,y,z'
'-x,-y,-z'
'-x,-y,z'
'x,y,-z'
'x,-y,-z'
'-x,y,z'
'-x,y,-z'
'x,-y,z'
loop_
_atom_site_label
_atom_site_fract_x
_atom_site_fract_y
_atom_site_fract_z
Ba1 0.000 0.000 0.000
Ba2 0.000 0.500 0.500
Hg1 0.000 0.000 0.319
Hg2 0.000 0.500 0.166
Hg3 0.500 0.000 0.500
Pt1 0.500 0.252 0.243
Pt2 0.500 0.500 0.000
# **Formation energy**: -0.3579 eV per atom
# **Total DFT energy (no corrections)**: -3.32 eV/atom
# **Spin magnetization**: 0.000 μB per atom